1.
Compound: Sc4NiAuC2
Source: OQMD via LeMat-Bulk
Functional: PBE
Structure: optimized geometry

The mass density is 5.93 Mg/m³. The volume comes out at 128.7 Å³/cell. Its crystal system is hexagonal. The value obtained for the spin magnetization is 0.19 μB per cell. For the final energy, the calculation gives -7.047 eV per atom. As for the symmetry: P-6m2 (187).

Geometry as POSCAR:
```
Sc4NiAuC2
1.0
3.384 0.000 0.000
-1.692 2.930 0.000
0.000 0.000 12.985
Sc Ni C Au
4 1 2 1
Cartesian
0.000 0.000 8.345
1.692 0.977 10.778
0.000 0.000 4.639
1.692 0.977 2.206
1.692 0.977 6.492
0.000 1.953 9.631
0.000 1.953 3.353
0.000 0.000 0.000
```

2.
Compound: SrTaAs
Source: OQMD via LeMat-Bulk
Functional: PBE
Structure: optimized geometry

The value obtained for the offset from the most stable computed form is 961.1 meV/atom. The mass density is 6.28 Mg/m³. The volume comes out at 90.9 Å³/cell. Its crystal system is cubic. The value obtained for the spin magnetization is 3.68 μB per cell. As for the symmetry: F-43m (216).

Geometry as POSCAR:
```
SrTaAs
1.0
0.000 3.569 3.569
3.569 0.000 3.569
3.569 3.569 0.000
Sr As Ta
1 1 1
Cartesian
0.000 0.000 0.000
1.784 1.784 1.784
5.353 5.353 5.353
```

3.
Compound: CdP2H8O10
Source: OQMD via LeMat-Bulk
Functional: PBE
Structure: optimized geometry

The mass density is 2.98 Mg/m³. The volume comes out at 381.2 Å³/cell. Its crystal system is monoclinic. For the final energy, the calculation gives -5.584 eV per atom. As for the symmetry: P2_1/c (14).

Geometry as POSCAR:
```
CdP2H8O10
1.0
-3.802 -3.091 0.234
-0.454 -0.702 -6.751
7.233 -8.865 0.436
O H P Cd
20 16 4 2
Cartesian
-0.026 -2.680 -5.300
2.762 -4.963 -1.880
5.695 -9.908 -0.741
2.071 -7.644 -1.325
-0.430 -5.431 -1.731
-2.719 -2.749 -5.342
0.213 -7.695 -4.200
4.881 -7.783 -2.400
-0.507 -3.070 -2.560
-1.905 -4.873 -3.681
-2.551 -4.024 -1.372
0.905 -5.014 -4.757
3.483 -9.589 -3.521
5.528 -8.634 -4.710
-1.494 -6.365 -5.750
2.207 -9.011 -5.691
0.768 -3.646 -0.389
3.406 -7.226 -4.351
4.470 -6.293 -0.332
3.003 -9.978 -0.781
-1.362 -5.707 -4.985
-1.778 -2.980 -5.185
2.722 -3.987 -1.784
2.934 -7.674 -5.139
4.753 -9.680 -0.895
4.338 -6.951 -1.097
2.850 -9.632 -4.317
-0.245 -7.314 -4.984
3.222 -5.344 -1.096
2.508 -10.398 -1.571
0.469 -2.260 -4.511
0.126 -3.026 -1.765
0.042 -4.985 -0.943
0.257 -8.670 -4.298
-1.220 -1.614 -1.914
4.196 -11.044 -4.168
0.862 -3.944 -5.803
2.114 -8.713 -0.279
4.440 -8.317 -3.732
-1.463 -4.341 -2.349
0.000 0.000 0.000
1.489 -6.329 -3.041
```

4.
Compound: NaHfTe3Au
Source: OQMD via LeMat-Bulk
Functional: PBE
Structure: optimized geometry

The value obtained for the offset from the most stable computed form is 1.3 meV/atom. The mass density is 7.72 Mg/m³. The volume comes out at 336.2 Å³/cell. Its crystal system is monoclinic. The value obtained for the spin magnetization is 0.03 μB per cell. As for the symmetry: P2_1/m (11).

Geometry as POSCAR:
```
NaHfTe3Au
1.0
-5.229 -2.974 -5.672
-2.721 -0.865 2.962
-1.985 10.121 1.132
Na Au Te Hf
2 2 6 2
Cartesian
-6.334 -0.712 -1.741
-3.601 6.995 0.163
-8.597 5.699 -1.949
-1.338 0.584 0.370
-3.639 -1.062 0.632
-8.164 3.037 -2.328
-4.388 1.881 -2.053
-1.771 3.246 0.749
-5.547 4.401 0.475
-6.296 7.345 -2.211
-4.245 1.705 0.884
-5.690 4.577 -2.462
```

5.
Compound: U3Ni
Source: OQMD via LeMat-Bulk
Functional: PBE
Structure: optimized geometry

The value obtained for the offset from the most stable computed form is 206.4 meV/atom. As for the formation energy: 213 meV per atom. The mass density is 17.64 Mg/m³. The volume comes out at 145.5 Å³/cell. Its crystal system is hexagonal. The value obtained for the spin magnetization is 0.00 μB per cell. As for the symmetry: P6_3/mmc (194).

Geometry as POSCAR:
```
U3Ni
1.0
-0.697 5.812 -1.646
-4.530 -3.965 -0.853
-1.631 0.974 4.129
U Ni
6 2
Cartesian
-2.287 2.106 2.353
-4.570 0.715 -0.723
-2.159 -0.137 0.430
-4.698 2.957 1.200
-2.608 4.787 1.593
-4.249 -1.966 0.037
-2.382 2.796 -0.350
-4.475 0.024 1.980
```

6.
Compound: Nd3Tl3Ag2Pd
Source: OQMD via LeMat-Bulk
Functional: PBE
Structure: optimized geometry

The mass density is 10.17 Mg/m³. The volume comes out at 223.3 Å³/cell. Its crystal system is hexagonal. The value obtained for the spin magnetization is 0.01 μB per cell. For the final energy, the calculation gives -3.986 eV per atom. As for the symmetry: P-62m (189).

Geometry as POSCAR:
```
Nd3Tl3Ag2Pd
1.0
-5.103 5.998 1.519
-2.751 -7.485 -0.859
0.447 -0.616 3.935
Nd Ag Tl Pd
3 2 3 1
Cartesian
-1.653 -4.497 -0.516
-3.066 3.604 0.913
-3.135 -0.593 0.263
-4.095 1.196 2.694
-3.311 -3.298 1.901
-1.100 1.248 2.362
-0.490 -2.250 1.745
-5.593 -1.409 2.456
0.000 0.000 0.000
```